Record 1
This record from OQMD describes crystalline RbDySnSe3 at its relaxed geometry. The functional is PBE.

The structure in POSCAR format:
```
RbDySnSe3
1.0
2.060 -8.476 0.000
2.060 8.476 0.000
0.000 0.000 11.938
Rb Dy Sn Se
2 2 2 6
Direct
0.191 0.809 0.750
0.809 0.191 0.250
0.500 0.500 0.000
0.500 0.500 0.500
0.111 0.889 0.250
0.889 0.111 0.750
0.115 0.885 0.007
0.115 0.885 0.493
0.499 0.501 0.750
0.501 0.499 0.250
0.885 0.115 0.507
0.885 0.115 0.993
```

Calculated values
Calculated density ... 4.81 g/cm³
E ... -4.521 eV/atom
ΔE to the lowest computed polymorph ... 0.114 eV/atom

=====

Record 2
This record from OQMD describes crystalline RbSrDySe3 at its relaxed geometry. The functional is PBE.

The structure in POSCAR format:
```
RbSrDySe3
1.0
9.534 -2.120 0.000
9.534 2.120 0.000
-5.975 0.000 10.608
Rb Sr Dy Se
2 2 2 6
Direct
0.048 0.048 0.248
0.952 0.952 0.752
0.384 0.384 0.322
0.616 0.616 0.678
0.333 0.333 0.934
0.667 0.667 0.066
0.000 0.000 0.500
0.157 0.157 0.887
0.213 0.213 0.241
0.500 0.500 0.000
0.787 0.787 0.759
0.843 0.843 0.113
```

Calculated values
Calculated density ... 4.43 g/cm³
E ... -4.647 eV/atom

=====

Record 3
This record from OQMD describes crystalline RbDyTeSe at its relaxed geometry. The functional is PBE.

The structure in POSCAR format:
```
RbDyTeSe
1.0
2.184 1.261 8.282
-2.184 1.261 8.282
0.000 -2.522 8.282
Rb Dy Te Se
1 1 1 1
Direct
0.000 0.000 0.000
0.509 0.509 0.509
0.771 0.771 0.771
0.236 0.236 0.236
```

Calculated values
Calculated density ... 5.51 g/cm³
E ... -4.599 eV/atom

=====

Record 4
This record from OQMD describes crystalline RbDyTmSe3 at its relaxed geometry. The functional is PBE.

The structure in POSCAR format:
```
RbDyTmSe3
1.0
2.227 -7.840 0.000
2.227 7.840 0.000
0.000 0.000 11.171
Rb Dy Tm Se
2 2 2 6
Direct
0.239 0.761 0.750
0.761 0.239 0.250
0.500 0.500 0.000
0.500 0.500 0.500
0.034 0.966 0.250
0.966 0.034 0.750
0.122 0.878 0.046
0.122 0.878 0.454
0.437 0.563 0.250
0.563 0.437 0.750
0.878 0.122 0.546
0.878 0.122 0.954
```

Calculated values
Calculated density ... 5.57 g/cm³
E ... -4.954 eV/atom

=====

Record 5
This record from OQMD describes crystalline RbDyZnSe3 at its relaxed geometry. The functional is PBE.

The structure in POSCAR format:
```
RbDyZnSe3
1.0
9.223 -2.123 0.000
9.223 2.123 0.000
-1.748 0.000 8.789
Rb Dy Zn Se
2 2 2 6
Direct
0.145 0.145 0.067
0.855 0.855 0.933
0.168 0.168 0.566
0.832 0.832 0.434
0.474 0.474 0.265
0.526 0.526 0.735
0.000 0.000 0.500
0.325 0.325 0.640
0.340 0.340 0.223
0.500 0.500 0.000
0.660 0.660 0.777
0.675 0.675 0.360
```

Calculated values
Calculated density ... 5.31 g/cm³
E ... -4.098 eV/atom

=====

Record 6
This record from OQMD describes crystalline RbDySi at its relaxed geometry. The functional is PBE.

The structure in POSCAR format:
```
RbDySi
1.0
0.000 3.721 3.721
3.721 0.000 3.721
3.721 3.721 0.000
Rb Dy Si
1 1 1
Direct
0.000 0.000 0.000
0.500 0.500 0.500
0.750 0.750 0.750
```

Calculated values
Calculated density ... 4.45 g/cm³
E ... -3.334 eV/atom

=====

Record 7
This record from OQMD describes crystalline RbSmDy at its relaxed geometry. The functional is PBE.

The structure in POSCAR format:
```
RbSmDy
1.0
0.000 4.240 4.240
4.240 0.000 4.240
4.240 4.240 0.000
Rb Sm Dy
1 1 1
Direct
0.000 0.000 0.000
0.500 0.500 0.500
0.250 0.250 0.250
```

Calculated values
Calculated density ... 4.34 g/cm³
E ... -2.205 eV/atom
ΔE to the lowest computed polymorph ... 0.000 eV/atom

=====

Record 8
This record from OQMD describes crystalline RbDySn at its relaxed geometry. The functional is PBE.

The structure in POSCAR format:
```
RbDySn
1.0
0.000 3.803 3.803
3.803 0.000 3.803
3.803 3.803 0.000
Rb Dy Sn
1 1 1
Direct
0.000 0.000 0.000
0.250 0.250 0.250
0.500 0.500 0.500
```

Calculated values
Calculated density ... 5.54 g/cm³
E ... -3.009 eV/atom

=====

Record 9
This record from OQMD describes crystalline RbSrDy at its relaxed geometry. The functional is PBE.

The structure in POSCAR format:
```
RbSrDy
1.0
0.000 4.583 4.583
4.583 0.000 4.583
4.583 4.583 0.000
Rb Sr Dy
1 1 1
Direct
0.000 0.000 0.000
0.500 0.500 0.500
0.250 0.250 0.250
```

Calculated values
Calculated density ... 2.89 g/cm³
E ... -1.461 eV/atom
ΔE to the lowest computed polymorph ... 0.000 eV/atom

=====

Record 10
This record from OQMD describes crystalline RbSrDy at its relaxed geometry. The functional is PBE.

The structure in POSCAR format:
```
RbSrDy
1.0
0.000 4.467 4.467
4.467 0.000 4.467
4.467 4.467 0.000
Rb Sr Dy
1 1 1
Direct
0.000 0.000 0.000
0.250 0.250 0.250
0.750 0.750 0.750
```

Calculated values
Calculated density ... 3.13 g/cm³
E ... -1.353 eV/atom
ΔE to the lowest computed polymorph ... 0.108 eV/atom

=====

Record 11
This record from OQMD describes crystalline RbSrDyTe3 at its relaxed geometry. The functional is PBE.

The structure in POSCAR format:
```
RbSrDyTe3
1.0
10.223 -2.264 0.000
10.223 2.264 0.000
-6.315 0.000 11.265
Rb Sr Dy Te
2 2 2 6
Direct
0.043 0.043 0.245
0.957 0.957 0.755
0.383 0.383 0.320
0.617 0.617 0.680
0.332 0.332 0.930
0.668 0.668 0.070
0.000 0.000 0.500
0.159 0.159 0.890
0.213 0.213 0.251
0.500 0.500 0.000
0.787 0.787 0.749
0.841 0.841 0.110
```

Calculated values
Calculated density ... 4.58 g/cm³
E ... -4.142 eV/atom

=====

Record 12
This record from OQMD describes crystalline RbDyTl at its relaxed geometry. The functional is PBE.

The structure in POSCAR format:
```
RbDyTl
1.0
0.000 3.956 3.956
3.956 0.000 3.956
3.956 3.956 0.000
Rb Dy Tl
1 1 1
Direct
0.000 0.000 0.000
0.500 0.500 0.500
0.750 0.750 0.750
```

Calculated values
Calculated density ... 6.07 g/cm³
E ... -2.207 eV/atom